No. 1
Entry from the Alexandria database: a relaxed La5PmTe6 crystal (GGA-PBE).

Unit cell a=7.892 b=13.713 c=7.902 alpha=90.00 beta=109.61 gamma=90.00
Space group C2/m (No. 12)
Unique sites:
La1 0.000 0.000 0.000
La2 0.000 0.166 0.500
La3 0.000 0.331 0.000
Pm1 0.000 0.500 0.500
Te1 0.245 0.500 0.250
Te2 0.246 0.335 0.746

Properties
The calculated density comes out at 6617 kg/m³. Its total energy is -134.1 eV/cell.



No. 2
Entry from the Alexandria database: a relaxed Hg2Pd8Au crystal (GGA-PBE).

Unit cell a=14.466 b=4.073 c=6.454 alpha=90.00 beta=106.66 gamma=90.00
Space group C2/m (No. 12)
Unique sites:
Hg1 0.225 0.000 0.147
Pd1 0.043 0.000 0.225
Pd2 0.089 0.500 0.953
Pd3 0.136 0.000 0.679
Pd4 0.179 0.500 0.408
Au1 0.000 0.500 0.500

Properties
The value obtained for the energy relative to the lowest polymorph listed for this composition is 0 meV per atom. The calculated density comes out at 13213 kg/m³. The calculation puts the energy of formation at -0.0935 eV/atom.



No. 3
Entry from the Alexandria database: a relaxed La8Pm3Ho crystal (GGA-PBE).

Unit cell a=6.870 b=11.259 c=11.797 alpha=90.00 beta=90.00 gamma=90.00
Space group Immm (No. 71)
Unique sites:
La1 0.000 0.164 0.248
La2 0.223 0.272 0.000
Pm1 0.000 0.000 0.500
Pm2 0.000 0.500 0.244
Ho1 0.000 0.000 0.000

Properties
The calculated density comes out at 6227 kg/m³. The calculation puts the energy of formation at 0.2854 eV/atom.



No. 4
Entry from the Alexandria database: a relaxed LiBSe2 crystal (GGA-PBE).

Unit cell a=4.060 b=3.331 c=6.505 alpha=90.00 beta=107.79 gamma=90.00
Space group Pm (No. 6)
Unique sites:
Li1 0.000 0.000 0.000
B1 0.307 0.500 0.623
Se1 0.211 0.000 0.441
Se2 0.468 0.500 0.935

Properties
The calculated density comes out at 3482 kg/m³. Its total energy is -17.4 eV/cell.



No. 5
Entry from the Alexandria database: a relaxed Nb2GeIr crystal (GGA-PBE).

Unit cell a=3.6756 b=3.6756 c=19.1511 alpha=90.00 beta=90.00 gamma=120.00
Space group R-3m (No. 166, hexagonal axes)
Unique sites:
Nb1 0.0000 0.0000 0.2470
Ge1 0.0000 0.0000 0.0000
Ir1 0.0000 0.0000 0.5000

Properties
The calculated density comes out at 10020 kg/m³. The calculation puts the energy of formation at 0.0269 eV/atom.



No. 6
Entry from the Alexandria database: a relaxed KCu2Ni crystal (GGA-PBE).

Unit cell a=5.740 b=8.123 c=2.745 alpha=90.00 beta=90.00 gamma=90.00
Space group Cmmm (No. 65)
Unique sites:
K1 0.000 0.000 0.000
Cu1 0.250 0.250 0.500
Ni1 0.000 0.500 0.000

Properties
The value obtained for the energy relative to the lowest polymorph listed for this composition is 342 meV per atom. The calculated density comes out at 5836 kg/m³. The calculation puts the energy of formation at 0.7382 eV/atom.